# NaFeAg2F6 (PBE+U, relaxed)
data_NaFeAg2F6
_chemical_formula_sum 'Na2 Fe2 Ag4 F12'
_cell_length_a 5.750
_cell_length_b 5.845
_cell_length_c 9.953
_cell_angle_alpha 90.00
_cell_angle_beta 125.13
_cell_angle_gamma 90.00
_space_group_name_H-M_alt 'P 1 21/c 1'
_space_group_IT_number 14
loop_
_space_group_symop_operation_xyz
'x,y,z'
'-x,-y,-z'
'-x,y+1/2,-z+1/2'
'x,-y+1/2,z+1/2'
loop_
_atom_site_label
_atom_site_type_symbol
_atom_site_fract_x
_atom_site_fract_y
_atom_site_fract_z
_atom_site_occupancy
Na1 Na 0.000 0.000 0.000 1
Fe1 Fe 0.500 0.000 0.500 1
Ag1 Ag 0.236 0.042 0.749 1
F1 F 0.194 0.195 0.452 1
F2 F 0.254 0.742 0.440 1
F3 F 0.379 0.036 0.276 1
# Magnetization, μB/f.u.: 0.81
# Electronic total energy, eV/cell: -82.73